The following is a DFT calculation (SCAN) of a crystal of PdI2NO relaxed with PBEsol.

POSCAR file:
```
PdI2NO
1.0
3.704 0.000 0.000
0.000 5.587 0.000
0.000 0.000 5.587
I O Pd N
2 1 1 1
Cartesian
0.000 0.000 2.794
0.000 2.794 0.000
1.852 0.000 0.000
0.000 0.000 0.000
1.852 2.794 2.794
```

space-group type = P4/mmm (123)
uncorrected energy = -23.385 eV/atom
total magnetic moment = 0.297 μB/atom